Entry 1:
Entry from the Alexandria database: a relaxed PmPrNd2Y5 crystal (PBE-GGA).

a b c (Å): 8.7511 8.7511 10.0262
angles (deg): 115.88 115.88 90.00
Closest atoms and distances in Å follow each position.
Positions (direct):
Y  0.6552  0.1552  0.7261  1 Nd 3.05, 1 Pr 3.13
Y  0.5709  0.6552  0.7261  1 Nd 3.05, 1 Pr 3.13
Y  0.0000  0.0000  0.0000  4 Nd 3.50, 8 Y 3.81
Y  0.8448  0.9291  0.2739  1 Nd 3.05, 1 Pr 3.13
Y  0.1552  0.0709  0.7261  1 Nd 3.05, 1 Pr 3.13
Y  0.9291  0.4291  0.2739  1 Nd 3.05, 1 Pr 3.13
Y  0.5000  0.5000  0.0000  4 Nd 3.50, 8 Y 3.81
Y  0.3448  0.8448  0.2739  1 Nd 3.05, 1 Pr 3.13
Y  0.4291  0.3448  0.2739  1 Nd 3.05, 1 Pr 3.13
Y  0.0709  0.5709  0.7261  1 Nd 3.05, 1 Pr 3.13
Pm  0.7500  0.7500  0.5000  10 Y 3.61-3.94
Pm  0.2500  0.2500  0.5000  10 Y 3.61-3.94
Nd  0.8822  0.6178  0.0000  1 Nd 2.92, 2 Y 3.05
Nd  0.6178  0.1178  0.0000  1 Nd 2.92, 2 Y 3.05
Nd  0.1178  0.3822  0.0000  1 Nd 2.92, 2 Y 3.05
Nd  0.3822  0.8822  0.0000  1 Nd 2.92, 2 Y 3.05
Pr  0.2500  0.7500  0.5000  4 Y 3.13
Pr  0.7500  0.2500  0.5000  4 Y 3.13

## Properties
Energy of formation from the pure elements ... 0.233 eV/atom
Total moment ... 0.0000 μB per atom
Uncorrected energy ... -5.476 eV per atom

***

Entry 2:
Entry from the Alexandria database: a relaxed CaAlS2Cl crystal (PBE-GGA).

a b c (Å): 5.3956 5.3956 5.2692
angles (deg): 90.00 90.00 90.00
Closest atoms and distances in Å follow each position.
Positions (direct):
S  0.5000  0.0000  0.0000  2 Ca 2.70
S  0.0000  0.5000  0.0000  2 Ca 2.70
Al  0.5000  0.5000  0.5000  8 S 3.77, 4 Cl 3.82
Cl  0.0000  0.0000  0.5000  2 Ca 2.63
Ca  0.0000  0.0000  0.0000  2 Cl 2.63, 4 S 2.70

## Properties
Distance to the lowest polymorph of the same formula ... 936 meV per atom
Total moment ... 0.4041 μB per atom
Uncorrected energy ... -3.480 eV per atom
Formation energy from raw total energies ... -0.3110 eV/atom

***

Entry 3:
Entry from the Alexandria database: a relaxed Ce2TmCu6 crystal (PBE-GGA).

a b c (Å): 3.3982 7.4948 7.4948
angles (deg): 120.00 90.00 90.00
Closest atoms and distances in Å follow each position.
Positions (direct):
Cu  0.5000  0.6689  0.6689  3 Cu 2.48-2.53
Cu  0.5000  0.0000  0.3311  3 Cu 2.48-2.53
Cu  0.5000  0.3311  0.0000  3 Cu 2.48-2.53
Cu  0.5000  0.3311  0.3311  3 Cu 2.48-2.53
Cu  0.5000  0.0000  0.6689  3 Cu 2.48-2.53
Cu  0.5000  0.6689  0.0000  3 Cu 2.48-2.53
Ce  0.0000  0.3333  0.6667  12 Cu 3.03
Ce  0.0000  0.6667  0.3333  12 Cu 3.03
Tm  0.0000  0.0000  0.0000  12 Cu 3.01

## Properties
Energy of formation from the pure elements ... -0.177 eV/atom
Total moment ... 0.0089 μB per atom
Uncorrected energy ... -4.724 eV per atom

***

Entry 4:
Entry from the Alexandria database: a relaxed CrCuSeN2 crystal (PBE-GGA).

a b c (Å): 3.7349 3.7349 5.3389
angles (deg): 90.00 90.00 90.00
Closest atoms and distances in Å follow each position.
Positions (direct):
N  0.0000  0.5000  0.0000  2 Cu 1.87
N  0.5000  0.0000  0.0000  2 Cu 1.87
Se  0.0000  0.0000  0.5000  4 Cr 2.64, 2 Cu 2.67
Cu  0.0000  0.0000  0.0000  4 N 1.87
Cr  0.5000  0.5000  0.5000  4 Se 2.64

## Properties
Distance to the lowest polymorph of the same formula ... 858 meV per atom
Total moment ... 0.1857 μB per atom
Uncorrected energy ... -5.438 eV per atom
Formation energy from raw total energies ... 1.3334 eV/atom